(1)
## TbLuNiIr (PBE-GGA)

Data for crystalline TbLuNiIr at its relaxed geometry.

Lattice parameters (Å, degrees): 4.7790 4.7790 4.7790 60.00 60.00 60.00
Fractional positions:
Tb (0.0000, 0.0000, 0.0000)
Lu (0.5000, 0.5000, 0.5000)
Ni (0.7500, 0.7500, 0.7500)
Ir (0.2500, 0.2500, 0.2500)

crystal system = cubic
E_form = -66 kJ per mole of atoms

(2)
## LuZnNiIr (PBE-GGA)

Data for crystalline LuZnNiIr at its relaxed geometry.

Lattice parameters (Å, degrees): 4.4745 4.4745 4.4745 60.00 60.00 60.00
Fractional positions:
Lu (0.0000, 0.0000, 0.0000)
Zn (0.5000, 0.5000, 0.5000)
Ni (0.2500, 0.2500, 0.2500)
Ir (0.7500, 0.7500, 0.7500)

crystal system = cubic
E_form = -45 kJ per mole of atoms

(3)
## LuZrNiIr (PBE-GGA)

Data for crystalline LuZrNiIr at its relaxed geometry.

Lattice parameters (Å, degrees): 4.6733 4.6733 4.6733 60.00 60.00 60.00
Fractional positions:
Lu (0.0000, 0.0000, 0.0000)
Zr (0.5000, 0.5000, 0.5000)
Ni (0.7500, 0.7500, 0.7500)
Ir (0.2500, 0.2500, 0.2500)

crystal system = cubic
E_form = -65 kJ per mole of atoms

(4)
## LuNpIr4 (PBE-GGA)

Data for crystalline LuNpIr4 at its relaxed geometry.

Lattice parameters (Å, degrees): 5.3286 5.3286 5.3286 60.00 60.00 60.00
Fractional positions:
Lu (0.0000, 0.0000, 0.0000)
Np (0.2500, 0.2500, 0.2500)
Ir (0.1244, 0.6252, 0.6252)
Ir (0.6252, 0.1244, 0.6252)
Ir (0.6252, 0.6252, 0.1244)
Ir (0.6252, 0.6252, 0.6252)

crystal system = cubic
E_form = -60 kJ per mole of atoms

(5)
## LuNpIrOs (PBE-GGA)

Data for crystalline LuNpIrOs at its relaxed geometry.

Lattice parameters (Å, degrees): 4.7729 4.7729 4.7729 60.00 60.00 60.00
Fractional positions:
Lu (0.0000, 0.0000, 0.0000)
Np (0.5000, 0.5000, 0.5000)
Ir (0.2500, 0.2500, 0.2500)
Os (0.7500, 0.7500, 0.7500)

crystal system = cubic
E_form = -30 kJ per mole of atoms

(6)
## LuNpIrPd (PBE-GGA)

Data for crystalline LuNpIrPd at its relaxed geometry.

Lattice parameters (Å, degrees): 4.8514 4.8514 4.8514 60.00 60.00 60.00
Fractional positions:
Lu (0.0000, 0.0000, 0.0000)
Np (0.5000, 0.5000, 0.5000)
Ir (0.2500, 0.2500, 0.2500)
Pd (0.7500, 0.7500, 0.7500)

crystal system = cubic
E_form = -51 kJ per mole of atoms